Below is PuHfBe after structural relaxation, with properties calculated at the GGA-PBE level.

* formation energy: 0.08 eV/atom
* N(E_F): 6.08 states/eV/f.u.

Cell and atoms, written as POSCAR:
```
PuHfBe
1.0
-3.046 -3.349 -1.269
0.350 -4.535 2.421
-4.769 -0.051 2.874
Pu Be Hf
2 2 2
Cartesian
-0.255 -3.611 1.435
-2.441 -4.273 -0.282
-2.971 -3.130 2.331
-4.494 -4.805 1.696
-2.525 -1.173 0.449
-5.290 -2.227 1.157
```